(1)
This record from Alexandria describes an optimized crystal structure of LaYEr2Tm5. The functional is PBE.

energy of formation from the pure elements	28	kJ/mol of atoms
final energy	-4.474	eV per atom
size of the total moment	0.000	μB/atom
space group	No. 140

a = 9.605 Å, b = 9.605 Å, c = 9.605 Å
α = 124.36°, β = 124.36°, γ = 82.61°
Element x y z (fractional)
La: 0.250 0.250 0.000
La: 0.750 0.750 0.000
Y: 0.250 0.750 0.500
Y: 0.750 0.250 0.500
Er: 0.111 0.611 0.723
Er: 0.389 0.111 0.500
Er: 0.611 0.889 0.500
Er: 0.889 0.389 0.277
Tm: 0.000 0.000 0.000
Tm: 0.076 0.168 0.500
Tm: 0.168 0.668 0.092
Tm: 0.332 0.424 0.500
Tm: 0.424 0.924 0.092
Tm: 0.500 0.500 0.000
Tm: 0.576 0.076 0.908
Tm: 0.668 0.576 0.500
Tm: 0.832 0.332 0.908
Tm: 0.924 0.832 0.500



(2)
This record from Alexandria describes an optimized crystal structure of LaY3ErTm. The functional is PBE.

energy of formation from the pure elements	12	kJ/mol of atoms
final energy	-5.435	eV per atom
size of the total moment	0.011	μB/atom
space group	No. 63

a = 6.586 Å, b = 6.586 Å, c = 11.501 Å
α = 90.00°, β = 90.00°, γ = 128.34°
Element x y z (fractional)
La: 0.028 0.972 0.750
La: 0.972 0.028 0.250
Y: 0.174 0.826 0.026
Y: 0.174 0.826 0.474
Y: 0.355 0.645 0.250
Y: 0.645 0.355 0.750
Y: 0.826 0.174 0.526
Y: 0.826 0.174 0.974
Er: 0.500 0.500 0.000
Er: 0.500 0.500 0.500
Tm: 0.328 0.672 0.750
Tm: 0.672 0.328 0.250



(3)
This record from Alexandria describes an optimized crystal structure of LaErTmZr. The functional is PBE.

energy of formation from the pure elements	19	kJ/mol of atoms
final energy	-5.429	eV per atom
size of the total moment	0.066	μB/atom
space group	No. 216

a = 5.512 Å, b = 5.512 Å, c = 5.512 Å
α = 60.00°, β = 60.00°, γ = 60.00°
Element x y z (fractional)
La: 0.000 0.000 0.000
Er: 0.750 0.750 0.750
Tm: 0.250 0.250 0.250
Zr: 0.500 0.500 0.500



(4)
This record from Alexandria describes an optimized crystal structure of LaY4Er5. The functional is PBE.

energy of formation from the pure elements	6	kJ/mol of atoms
final energy	-5.293	eV per atom
size of the total moment	0.000	μB/atom
excess energy over the best structure of this formula in the dataset	0.000	eV per atom
space group	No. 2

a = 3.556 Å, b = 6.642 Å, c = 14.247 Å
α = 98.89°, β = 93.78°, γ = 103.18°
Element x y z (fractional)
La: 0.000 0.000 0.000
Y: 0.108 0.804 0.219
Y: 0.212 0.731 0.801
Y: 0.788 0.269 0.199
Y: 0.892 0.196 0.781
Er: 0.206 0.882 0.582
Er: 0.496 0.428 0.611
Er: 0.500 0.500 0.000
Er: 0.504 0.572 0.389
Er: 0.794 0.118 0.418



(5)
This record from Alexandria describes an optimized crystal structure of LaY14Er. The functional is PBE.

energy of formation from the pure elements	2	kJ/mol of atoms
final energy	-6.226	eV per atom
size of the total moment	0.000	μB/atom
space group	No. 123

a = 7.159 Å, b = 7.159 Å, c = 10.106 Å
α = 90.00°, β = 90.00°, γ = 90.00°
Element x y z (fractional)
La: 0.000 0.000 0.000
Y: 0.000 0.000 0.500
Y: 0.000 0.500 0.000
Y: 0.000 0.500 0.500
Y: 0.251 0.251 0.251
Y: 0.251 0.251 0.749
Y: 0.251 0.749 0.251
Y: 0.251 0.749 0.749
Y: 0.500 0.000 0.000
Y: 0.500 0.000 0.500
Y: 0.500 0.500 0.500
Y: 0.749 0.251 0.251
Y: 0.749 0.251 0.749
Y: 0.749 0.749 0.251
Y: 0.749 0.749 0.749
Er: 0.500 0.500 0.000



(6)
This record from Alexandria describes an optimized crystal structure of La5Y2Er. The functional is PBE.

energy of formation from the pure elements	11	kJ/mol of atoms
final energy	-5.151	eV per atom
size of the total moment	0.000	μB/atom
space group	No. 63

a = 6.716 Å, b = 6.716 Å, c = 16.524 Å
α = 90.00°, β = 90.00°, γ = 129.75°
Element x y z (fractional)
La: 0.030 0.970 0.750
La: 0.112 0.888 0.053
La: 0.112 0.888 0.447
La: 0.421 0.579 0.093
La: 0.421 0.579 0.407
La: 0.579 0.421 0.593
La: 0.579 0.421 0.907
La: 0.888 0.112 0.553
La: 0.888 0.112 0.947
La: 0.970 0.030 0.250
Y: 0.275 0.725 0.636
Y: 0.275 0.725 0.864
Y: 0.725 0.275 0.136
Y: 0.725 0.275 0.364
Er: 0.250 0.750 0.250
Er: 0.750 0.250 0.750